(1)
The following is a DFT calculation (GGA-PBE) of a geometry-optimized Pr3HgTe6 structure.

The space group is Cmc2_1 (No. 36) and the conventional cell measures 12.4786, 14.8313 and 7.6935 Å, with angles of 90.00, 90.00 and 90.00 degrees. Symmetry generates all atoms from Pr at (0.0000, 0.0979, 0.0000), Pr at (0.1779, 0.4058, 0.1133), Hg at (0.0000, 0.2832, 0.6385), Te at (0.0000, 0.2718, 0.2736), Te at (0.0000, 0.4632, 0.8086), Te at (0.1626, 0.0415, 0.3063) and Te at (0.1823, 0.2295, 0.8436).

As for the total energy: -4.4082 eV/atom. As for the spin magnetization: 0.0 μB/f.u.

=====

(2)
The following is a DFT calculation (GGA-PBE) of a geometry-optimized SrAsSe2I structure.

The space group is P4/mmm (No. 123) and the conventional cell measures 5.7919, 5.7919 and 6.1418 Å, with angles of 90.00, 90.00 and 90.00 degrees. Symmetry generates all atoms from Sr at (0.0000, 0.0000, 0.0000), As at (0.0000, 0.0000, 0.5000), Se at (0.0000, 0.5000, 0.0000) and I at (0.5000, 0.5000, 0.5000).

As for the total energy: -2.5152 eV/atom. The energy relative to the lowest polymorph listed for this composition comes out at 455 meV per atom. As for the spin magnetization: 2.5 μB/f.u.

=====

(3)
The following is a DFT calculation (GGA-PBE) of a geometry-optimized LaTlRu structure.

The space group is F-43m (No. 216) and the conventional cell measures 7.0216, 7.0216 and 7.0216 Å, with angles of 90.00, 90.00 and 90.00 degrees. Symmetry generates all atoms from La at (0.0000, 0.0000, 0.0000), Tl at (0.2500, 0.2500, 0.2500) and Ru at (0.2500, 0.2500, 0.7500).

As for the total energy: -4.8353 eV/atom. The calculation puts the formation energy at 688 meV/atom. As for the spin magnetization: 0.0 μB/f.u.